Record 1
A plane-wave DFT calculation with PBE was carried out for an optimized crystal structure of BaLaF2.

Lattice parameters (Å, degrees): 4.8657 4.8657 4.8657 60.00 60.00 60.00
Last column: nearest neighbours and their distance in Å.
Positions (direct):
F 0.2500 0.2500 0.2500  4 La 2.98, 4 Ba 2.98
F 0.7500 0.7500 0.7500  4 Ba 2.98, 4 La 2.98
Ba 0.0000 0.0000 0.0000  8 F 2.98
La 0.5000 0.5000 0.5000  8 F 2.98

Calculated values
Uncorrected formation energy = -1889 meV per atom
Symmetry = Fm-3m (225)
Calculated total energy = -4.538 eV per atom

---

Record 2
A plane-wave DFT calculation with PBE was carried out for an optimized crystal structure of BaLiLaF2.

Lattice parameters (Å, degrees): 4.9347 6.9709 4.9347 90.00 90.00 90.00
Last column: nearest neighbours and their distance in Å.
Positions (direct):
F 0.0000 0.0000 0.5000  2 Ba 2.47
F 0.5000 0.0000 0.0000  2 Ba 2.47
Li 0.0000 0.5000 0.0000  2 Ba 3.49, 4 La 3.49
Ba 0.0000 0.0000 0.0000  4 F 2.47
La 0.5000 0.5000 0.5000  4 Li 3.49

Calculated values
Uncorrected formation energy = -1571 meV per atom
Symmetry = P4/mmm (123)
Calculated total energy = -4.073 eV per atom

---

Record 3
A plane-wave DFT calculation with PBE was carried out for an optimized crystal structure of BaLaN2F.

Lattice parameters (Å, degrees): 4.6799 4.6799 4.6577 90.00 90.00 90.00
Last column: nearest neighbours and their distance in Å.
Positions (direct):
N 0.0000 0.5000 0.0000  2 Ba 2.34
N 0.5000 0.0000 0.0000  2 Ba 2.34
F 0.0000 0.0000 0.5000  2 Ba 2.33
Ba 0.0000 0.0000 0.0000  2 F 2.33, 4 N 2.34
La 0.5000 0.5000 0.5000  8 N 3.30, 4 F 3.31

Calculated values
Uncorrected formation energy = -344 meV per atom
Symmetry = P4/mmm (123)
Calculated total energy = -5.419 eV per atom

---

Record 4
A plane-wave DFT calculation with PBE was carried out for an optimized crystal structure of BaLaN2F.

Lattice parameters (Å, degrees): 4.5569 4.5569 4.7737 90.00 90.00 90.00
Last column: nearest neighbours and their distance in Å.
Positions (direct):
N 0.0000 0.5000 0.0000  2 La 2.28
N 0.5000 0.0000 0.0000  2 La 2.28
F 0.0000 0.0000 0.5000  2 La 2.39
Ba 0.5000 0.5000 0.5000  4 F 3.22, 8 N 3.30
La 0.0000 0.0000 0.0000  4 N 2.28, 2 F 2.39

Calculated values
Uncorrected formation energy = -1216 meV per atom
Symmetry = P4/mmm (123)
Calculated total energy = -6.291 eV per atom

---

Record 5
A plane-wave DFT calculation with PBE was carried out for an optimized crystal structure of Ba2NaLaF8.

Lattice parameters (Å, degrees): 6.0375 6.0375 7.3747 114.16 114.16 90.00
Last column: nearest neighbours and their distance in Å.
Positions (direct):
Ba 0.7500 0.2500 0.5000  8 F 2.68
Ba 0.0000 0.0000 0.0000  8 F 2.68
Na 0.5000 0.5000 0.0000  8 F 2.63
La 0.2500 0.7500 0.5000  8 F 2.46
F 0.1380 0.6316 0.7379  1 La 2.46, 1 Na 2.63, 2 Ba 2.68
F 0.5999 0.6316 0.7379  1 La 2.46, 1 Na 2.63, 2 Ba 2.68
F 0.3684 0.4001 0.2621  1 La 2.46, 1 Na 2.63, 2 Ba 2.68
F 0.8937 0.8620 0.2621  1 La 2.46, 1 Na 2.63, 2 Ba 2.68
F 0.5999 0.1063 0.7379  1 La 2.46, 1 Na 2.63, 2 Ba 2.68
F 0.3684 0.8620 0.2621  1 La 2.46, 1 Na 2.63, 2 Ba 2.68
F 0.1380 0.1063 0.7379  1 La 2.46, 1 Na 2.63, 2 Ba 2.68
F 0.8937 0.4001 0.2621  1 La 2.46, 1 Na 2.63, 2 Ba 2.68

Calculated values
Uncorrected formation energy = -3776 meV per atom
Symmetry = I-4m2 (119)
Calculated total energy = -5.864 eV per atom

---

Record 6
A plane-wave DFT calculation with PBE was carried out for an optimized crystal structure of BaLaPd2F.

Lattice parameters (Å, degrees): 5.0895 8.0563 5.0895 90.00 90.00 90.00
Last column: nearest neighbours and their distance in Å.
Positions (direct):
F 0.5000 0.5000 0.5000  4 Ba 3.60
Ba 0.0000 0.5000 0.0000  4 F 3.60, 2 La 4.03
Pd 0.0000 0.0000 0.5000  2 La 2.54
Pd 0.5000 0.0000 0.0000  2 La 2.54
La 0.0000 0.0000 0.0000  4 Pd 2.54

Calculated values
Uncorrected formation energy = -191 meV per atom
Symmetry = P4/mmm (123)
Calculated total energy = -4.012 eV per atom

---

Record 7
A plane-wave DFT calculation with PBE was carried out for an optimized crystal structure of Rb2BaLaF6.

Lattice parameters (Å, degrees): 7.0811 7.0811 7.0825 60.01 60.01 90.00
Last column: nearest neighbours and their distance in Å.
Positions (direct):
F 0.2360 0.2360 0.5281  1 La 2.36, 1 Ba 2.65
F 0.7640 0.7640 0.4719  1 La 2.36, 1 Ba 2.65
F 0.2360 0.2360 0.0000  1 La 2.36, 1 Ba 2.64
F 0.7640 0.7640 0.0000  1 La 2.36, 1 Ba 2.64
F 0.7640 0.2360 0.0000  1 La 2.36, 1 Ba 2.64
F 0.2360 0.7640 0.0000  1 La 2.36, 1 Ba 2.64
Ba 0.5000 0.5000 0.0000  6 F 2.64-2.65
Rb 0.7500 0.2500 0.5000  12 F 3.54
Rb 0.2500 0.7500 0.5000  12 F 3.54
La 0.0000 0.0000 0.0000  6 F 2.36

Calculated values
Uncorrected formation energy = -3248 meV per atom
Symmetry = Fm-3m (225)
Calculated total energy = -5.249 eV per atom

---

Record 8
A plane-wave DFT calculation with PBE was carried out for an optimized crystal structure of Rb2BaLaF8.

Lattice parameters (Å, degrees): 6.3550 6.3550 7.6070 114.69 114.69 90.00
Last column: nearest neighbours and their distance in Å.
Positions (direct):
Rb 0.7500 0.2500 0.5000  8 F 2.89
Rb 0.0000 0.0000 0.0000  8 F 2.87
Ba 0.5000 0.5000 0.0000  8 F 2.71
La 0.2500 0.7500 0.5000  8 F 2.45
F 0.1576 0.6350 0.7339  1 La 2.45, 1 F 2.66, 1 Ba 2.71
F 0.5763 0.6350 0.7339  1 La 2.45, 1 F 2.66, 1 Ba 2.71
F 0.3650 0.4237 0.2661  1 La 2.45, 1 F 2.66, 1 Ba 2.71
F 0.9011 0.8424 0.2661  1 La 2.45, 1 F 2.66, 1 Ba 2.71
F 0.5763 0.0989 0.7339  1 La 2.45, 1 F 2.66, 1 Ba 2.71
F 0.3650 0.8424 0.2661  1 La 2.45, 1 F 2.66, 1 Ba 2.71
F 0.1576 0.0989 0.7339  1 La 2.45, 1 F 2.66, 1 Ba 2.71
F 0.9011 0.4237 0.2661  1 La 2.45, 1 F 2.66, 1 Ba 2.71

Calculated values
Uncorrected formation energy = -3273 meV per atom
Symmetry = I-4m2 (119)
Calculated total energy = -5.252 eV per atom

---

Record 9
A plane-wave DFT calculation with PBE was carried out for an optimized crystal structure of BaLaSe2F.

Lattice parameters (Å, degrees): 5.8628 5.8628 4.6006 90.00 90.00 90.00
Last column: nearest neighbours and their distance in Å.
Positions (direct):
F 0.0000 0.0000 0.5000  2 La 2.30
Ba 0.5000 0.5000 0.5000  8 Se 3.73, 4 F 4.15
Se 0.0000 0.5000 0.0000  2 La 2.93
Se 0.5000 0.0000 0.0000  2 La 2.93
La 0.0000 0.0000 0.0000  2 F 2.30

Calculated values
Uncorrected formation energy = -2500 meV per atom
Symmetry = P4/mmm (123)
Calculated total energy = -5.638 eV per atom

---

Record 10
A plane-wave DFT calculation with PBE was carried out for an optimized crystal structure of BaLaSe2F.

Lattice parameters (Å, degrees): 4.3743 4.3743 15.2216 90.00 90.00 90.00
Last column: nearest neighbours and their distance in Å.
Positions (direct):
Ba 0.5000 0.0000 0.6020  4 F 2.68
Ba 0.0000 0.5000 0.3980  4 F 2.68
La 0.5000 0.0000 0.1204  1 Se 2.73
La 0.0000 0.5000 0.8796  1 Se 2.73
Se 0.0000 0.5000 0.7000  1 La 2.73
Se 0.0000 0.5000 0.0917  5 La 3.12-3.23
Se 0.5000 0.0000 0.9083  5 La 3.12-3.23
Se 0.5000 0.0000 0.3000  1 La 2.73
F 0.0000 0.0000 0.5000  4 Ba 2.68
F 0.5000 0.5000 0.5000  4 Ba 2.68

Calculated values
Uncorrected formation energy = -2541 meV per atom
Symmetry = P4/nmm (129)
Calculated total energy = -5.679 eV per atom

---

Magnetic moment values (in μB per atom) by entry order: 0.00; 0.15; 0.04; 0.10; 0.00; 0.22; 0.00; 0.10; 0.00; 0.00.
V values (in Å³ per cell) by entry order: 81.45; 169.75; 102.01; 99.13; 219.20; 208.69; 251.16; 247.88; 158.13; 291.26.